(1)
Entry from the Alexandria database: a relaxed structure of Rb3Hg2Au (PBE).

**Fermi-level density of states**: 3.0 states/eV/f.u.
**Total DFT energy (no corrections)**: -16.338 eV for the cell shown
**ΔE_f**: -1.386 eV per formula unit

```
Rb3Hg2Au
1.0
5.9158 -5.4034 0.0000
5.9158 5.4034 0.0000
-2.7247 0.0000 8.4308
Rb Hg Au
6 4 2
Direct
0.1274 0.8726 0.7500
0.2508 0.3888 0.0204
0.3888 0.2508 0.5204
0.6112 0.7492 0.4796
0.7492 0.6112 0.9796
0.8726 0.1274 0.2500
0.0374 0.5638 0.3597
0.4362 0.9626 0.1403
0.5638 0.0374 0.8597
0.9626 0.4362 0.6403
0.1933 0.8067 0.2500
0.8067 0.1933 0.7500
```

---

(2)
Entry from the Alexandria database: a relaxed structure of Pm2Mg3Tl2 (PBE).

**Fermi-level density of states**: 6.1 states/eV/f.u.
**Total DFT energy (no corrections)**: -40.570 eV for the cell shown
**ΔE_f**: -1.267 eV per formula unit

```
Pm2Mg3Tl2
1.0
11.4699 0.0000 0.0000
0.0000 4.7719 0.0000
-1.3398 0.0000 7.0328
Pm Mg Tl
4 6 4
Direct
0.1120 0.0000 0.3476
0.3880 0.5000 0.6524
0.6120 0.5000 0.3476
0.8880 0.0000 0.6524
0.0000 0.5000 0.0000
0.1966 0.0000 0.8776
0.3034 0.5000 0.1224
0.5000 0.0000 0.0000
0.6966 0.5000 0.8776
0.8034 0.0000 0.1224
0.1109 0.5000 0.6625
0.3891 0.0000 0.3375
0.6109 0.0000 0.6625
0.8891 0.5000 0.3375
```

---

(3)
Entry from the Alexandria database: a relaxed structure of KScTa2Al (PBE).

**Fermi-level density of states**: 6.5 states/eV/f.u.
**Total DFT energy (no corrections)**: -23.394 eV for the cell shown
**ΔE_f**: 11.483 eV per formula unit

```
KScTa2Al
1.0
4.6688 0.0000 0.0000
0.0000 4.6688 0.0000
0.0000 0.0000 5.1170
K Sc Ta Al
1 1 2 1
Direct
0.0000 0.0000 0.0000
0.5000 0.5000 0.5000
0.0000 0.5000 0.0000
0.5000 0.0000 0.0000
0.0000 0.0000 0.5000
```

---

(4)
Entry from the Alexandria database: a relaxed structure of Hf2V3Ge2 (PBE).

**Fermi-level density of states**: 6.5 states/eV/f.u.
**Total DFT energy (no corrections)**: -117.885 eV for the cell shown
**ΔE_f**: -2.445 eV per formula unit

```
Hf2V3Ge2
1.0
9.9578 0.0000 0.0000
0.0000 3.4394 0.0000
-0.7294 0.0000 6.7104
Hf V Ge
4 6 4
Direct
0.1341 0.0000 0.3337
0.3659 0.5000 0.6663
0.6341 0.5000 0.3337
0.8659 0.0000 0.6663
0.0000 0.5000 0.0000
0.1863 0.0000 0.8886
0.3137 0.5000 0.1114
0.5000 0.0000 0.0000
0.6863 0.5000 0.8886
0.8137 0.0000 0.1114
0.0878 0.5000 0.6522
0.4122 0.0000 0.3478
0.5878 0.0000 0.6522
0.9122 0.5000 0.3478
```

---

(5)
Entry from the Alexandria database: a relaxed structure of PPdS2O (PBE).

**Fermi-level density of states**: 4.1 states/eV/f.u.
**Total DFT energy (no corrections)**: -17.818 eV for the cell shown
**Excess energy over the best structure of this formula in the dataset**: 422 meV/atom
**Energy relative to the elements, uncorrected**: 1200 meV/atom

```
PPdS2O
1.0
4.8182 0.0000 0.0000
0.0000 4.8182 0.0000
0.0000 0.0000 4.5328
P Pd S O
1 1 2 1
Direct
0.0000 0.0000 0.0000
0.0000 0.0000 0.5000
0.0000 0.5000 0.5000
0.5000 0.0000 0.5000
0.5000 0.5000 0.0000
```

---

(6)
Entry from the Alexandria database: a relaxed structure of Hf3Mo2Au (PBE).

**Fermi-level density of states**: 7.1 states/eV/f.u.
**Total DFT energy (no corrections)**: -56.337 eV for the cell shown
**ΔE_f**: -1.537 eV per formula unit

```
Hf3Mo2Au
1.0
3.3761 0.0000 0.0000
0.0000 3.3761 0.0000
0.0000 0.0000 9.8753
Hf Mo Au
3 2 1
Direct
0.0000 0.0000 0.0000
0.0000 0.0000 0.3214
0.0000 0.0000 0.6786
0.5000 0.5000 0.1694
0.5000 0.5000 0.8306
0.5000 0.5000 0.5000
```

---

(7)
Entry from the Alexandria database: a relaxed structure of SmAgTe2 (PBE).

**Fermi-level density of states**: 0.0 states/eV/f.u.
**Total DFT energy (no corrections)**: -70.164 eV for the cell shown
**Energy relative to the elements, uncorrected**: -922 meV/atom

```
SmAgTe2
1.0
7.8141 0.0000 0.0000
0.0000 4.2627 0.0000
0.0000 0.0000 14.0526
Sm Ag Te
4 4 8
Direct
0.1607 0.2500 0.1527
0.3393 0.7500 0.6527
0.6607 0.2500 0.3473
0.8393 0.7500 0.8473
0.0788 0.7500 0.4440
0.4212 0.2500 0.9440
0.5788 0.7500 0.0560
0.9212 0.2500 0.5560
0.0728 0.2500 0.7366
0.1917 0.7500 0.9848
0.3083 0.2500 0.4848
0.4272 0.7500 0.2366
0.5728 0.2500 0.7634
0.6917 0.7500 0.5152
0.8083 0.2500 0.0152
0.9272 0.7500 0.2634
```

---

(8)
Entry from the Alexandria database: a relaxed structure of LaBe2Cu2 (PBE).

**Fermi-level density of states**: 2.9 states/eV/f.u.
**Total DFT energy (no corrections)**: -41.411 eV for the cell shown
**ΔE_f**: -0.133 eV per formula unit
**Excess energy over the best structure of this formula in the dataset**: 0 meV/atom

```
LaBe2Cu2
1.0
4.0874 0.0000 0.0000
0.0000 4.0874 0.0000
0.0000 0.0000 9.4247
La Be Cu
2 4 4
Direct
0.0000 0.0000 0.0000
0.5000 0.5000 0.5000
0.0000 0.5000 0.2500
0.0000 0.5000 0.7500
0.5000 0.0000 0.2500
0.5000 0.0000 0.7500
0.0000 0.0000 0.3606
0.0000 0.0000 0.6394
0.5000 0.5000 0.1394
0.5000 0.5000 0.8606
```

---

(9)
Entry from the Alexandria database: a relaxed structure of BeNiW (PBE).

**Fermi-level density of states**: 2.2 states/eV/f.u.
**Total DFT energy (no corrections)**: -44.829 eV for the cell shown
**ΔE_f**: 0.046 eV per formula unit
**Excess energy over the best structure of this formula in the dataset**: 257 meV/atom

```
BeNiW
1.0
2.6325 0.0000 0.0000
0.2473 4.2868 0.0000
1.0844 0.7364 6.2236
Be Ni W
2 2 2
Direct
0.0911 0.1697 0.3586
0.9089 0.8303 0.6414
0.2825 0.7625 0.9420
0.7175 0.2375 0.0580
0.3547 0.3197 0.6889
0.6453 0.6803 0.3111
```

---

(10)
Entry from the Alexandria database: a relaxed structure of LiZn2Sb (PBE).

**Fermi-level density of states**: 1.3 states/eV/f.u.
**Total DFT energy (no corrections)**: -18.147 eV for the cell shown
**Energy relative to the elements, uncorrected**: -122 meV/atom

```
LiZn2Sb
1.0
4.1388 0.0000 0.0000
0.0000 4.1388 0.0000
0.0000 0.0000 8.5830
Li Zn Sb
2 4 2
Direct
0.0000 0.0000 0.0000
0.5000 0.5000 0.5000
0.0000 0.5000 0.2500
0.0000 0.5000 0.7500
0.5000 0.0000 0.2500
0.5000 0.0000 0.7500
0.0000 0.0000 0.5000
0.5000 0.5000 0.0000
```

---

(11)
Entry from the Alexandria database: a relaxed structure of ZrVPd2 (PBE).

**Fermi-level density of states**: 4.2 states/eV/f.u.
**Total DFT energy (no corrections)**: -29.503 eV for the cell shown
**ΔE_f**: -1.450 eV per formula unit
**Excess energy over the best structure of this formula in the dataset**: 0 meV/atom

```
ZrVPd2
1.0
4.1045 0.0000 0.0000
0.0000 4.1045 0.0000
0.0000 0.0000 3.9516
Zr V Pd
1 1 2
Direct
0.0000 0.0000 0.0000
0.5000 0.5000 0.0000
0.0000 0.5000 0.5000
0.5000 0.0000 0.5000
```

---

(12)
Entry from the Alexandria database: a relaxed structure of Li12InRh6 (PBE).

**Fermi-level density of states**: 8.5 states/eV/f.u.
**Total DFT energy (no corrections)**: -70.895 eV for the cell shown
**ΔE_f**: -1.082 eV per formula unit

```
Li12InRh6
1.0
5.1334 2.9638 3.0156
-5.1334 2.9638 3.0156
0.0000 -5.9276 3.0156
Li In Rh
12 1 6
Direct
0.0000 0.2614 0.7386
0.0000 0.7386 0.2614
0.1832 0.5819 0.5819
0.2614 0.0000 0.7386
0.2614 0.7386 0.0000
0.4181 0.4181 0.8168
0.4181 0.8168 0.4181
0.5819 0.1832 0.5819
0.5819 0.5819 0.1832
0.7386 0.0000 0.2614
0.7386 0.2614 0.0000
0.8168 0.4181 0.4181
0.0000 0.0000 0.0000
0.1555 0.1555 0.4170
0.1555 0.4170 0.1555
0.4170 0.1555 0.1555
0.5830 0.8445 0.8445
0.8445 0.5830 0.8445
0.8445 0.8445 0.5830
```

---

Fermi-level density of states of number 7 (SmAgTe2)?
0.0 states/eV/f.u.

---

total DFT energy (no corrections) of number 4 (Hf2V3Ge2)?
-117.885 eV for the cell shown

---

Among the records above, which one has the lowest Fermi-level density of states?
SmAgTe2

---

total DFT energy (no corrections) of number 9 (BeNiW)?
-44.829 eV for the cell shown